A relaxed Sn2Sb2Au5 crystal. Source: Alexandria via LeMat-Bulk, functional GGA-PBE.

Computed properties:
formation energy without anion corrections: -0.038 eV/atom
D(E_F): 0.42 states/eV per atom
total magnetization: 0.000 μB/f.u.
DFT total energy: -32.98 eV/cell
space group: No. 12

Cell lengths 7.408, 7.408, 8.919 Å; angles 124.39, 124.39, 35.52 degrees
Atoms (fractional coordinates):
Sn: 0.140 0.140 0.338
Sn: 0.860 0.860 0.662
Sb: 0.373 0.373 0.173
Sb: 0.627 0.627 0.827
Au: 0.125 0.125 0.002
Au: 0.386 0.386 0.499
Au: 0.500 0.500 0.000
Au: 0.614 0.614 0.501
Au: 0.875 0.875 0.998